[1]
Compound: AgIBr4
Source: the Alexandria database
Functional: PBE
Structure: optimized geometry

Computed properties:
Distance to the lowest polymorph of the same formula in meV per atom: 13

a b c (Å): 7.9249 16.9617 7.8475
angles (deg): 90.00 113.94 90.00
Space group C2/c (No. 15)
Symmetry-distinct sites (fractional):
Ag1 0.0000 0.0610 0.2500 [4 per cell]
I1 0.0000 0.4405 0.7500 [4 per cell]
Br1 0.2316 0.0542 0.6686 [8 per cell]
Br2 0.2363 0.1697 0.1822 [8 per cell]

[2]
Compound: AgI6Br2
Source: the Alexandria database
Functional: PBE
Structure: optimized geometry

Computed properties:
Density of states at the Fermi level in states/eV per cell: 6.17

a b c (Å): 3.6135 11.8878 12.0775
angles (deg): 66.54 89.79 81.36
Space group P-1 (No. 2)
Symmetry-distinct sites (fractional):
Ag1 0.0000 0.0000 0.0000 [1 per cell]
I1 0.1216 0.7342 0.2908 [2 per cell]
I2 0.2440 0.4815 0.3070 [2 per cell]
I3 0.3671 0.2279 0.3286 [2 per cell]
Br1 0.4533 0.0916 0.0964 [2 per cell]

[3]
Compound: Ag2I4Br
Source: the Alexandria database
Functional: PBE
Structure: optimized geometry

Computed properties:
Density of states at the Fermi level in states/eV per cell: 4.95

a b c (Å): 8.8452 9.3498 9.3648
angles (deg): 63.82 63.22 63.24
Space group P1 (No. 1)
Symmetry-distinct sites (fractional):
Ag1 0.0000 0.0000 0.0000 [1 per cell]
Ag2 0.0391 0.0347 0.4377 [1 per cell]
Ag3 0.4999 0.0734 0.9276 [1 per cell]
Ag4 0.9599 0.5627 0.9636 [1 per cell]
I1 0.0533 0.3806 0.2812 [1 per cell]
I2 0.2254 0.9689 0.6713 [1 per cell]
I3 0.2504 0.8987 0.1654 [1 per cell]
I4 0.2772 0.3709 0.7707 [1 per cell]
I5 0.7241 0.2289 0.6307 [1 per cell]
I6 0.7494 0.8342 0.1013 [1 per cell]
I7 0.7723 0.3264 0.0384 [1 per cell]
I8 0.9446 0.7175 0.6195 [1 per cell]
Br1 0.4233 0.3368 0.1629 [1 per cell]
Br2 0.5736 0.8391 0.6631 [1 per cell]

[4]
Compound: Ag3IBr9
Source: the Alexandria database
Functional: PBE
Structure: optimized geometry

Computed properties:
Density of states at the Fermi level in states/eV per cell: 27.67

a b c (Å): 21.2163 8.2225 14.4023
angles (deg): 90.00 123.34 90.00
Space group Cc (No. 9)
Symmetry-distinct sites (fractional):
Ag1 0.0000 0.0273 0.0000 [4 per cell]
Ag2 0.1811 0.1553 0.5016 [4 per cell]
Ag3 0.3090 0.3193 0.0022 [4 per cell]
I1 0.1715 0.4207 0.1796 [4 per cell]
Br1 0.0463 0.2311 0.4508 [4 per cell]
Br2 0.1025 0.2890 0.2697 [4 per cell]
Br3 0.1332 0.1546 0.0423 [4 per cell]
Br4 0.1959 0.2936 0.7942 [4 per cell]
Br5 0.2528 0.4599 0.5909 [4 per cell]
Br6 0.3092 0.0091 0.5642 [4 per cell]
Br7 0.3686 0.1001 0.2716 [4 per cell]
Br8 0.4233 0.2015 0.4646 [4 per cell]
Br9 0.4504 0.3834 0.1088 [4 per cell]

[5]
Compound: InAgIBr
Source: the Alexandria database
Functional: PBE
Structure: optimized geometry

a b c (Å): 5.0627 5.0194 6.0034
angles (deg): 90.00 90.15 90.00
Space group Pm (No. 6)
Symmetry-distinct sites (fractional):
In1 0.0000 0.0000 0.0000 [1 per cell]
Ag1 0.3946 0.5000 0.4994 [1 per cell]
I1 0.5145 0.5000 0.0004 [1 per cell]
Br1 0.1938 0.0000 0.5001 [1 per cell]

[6]
Compound: KAgIBr6
Source: the Alexandria database
Functional: PBE
Structure: optimized geometry

Computed properties:
Density of states at the Fermi level in states/eV per cell: 2.32

a b c (Å): 5.4398 6.1576 11.0758
angles (deg): 82.17 84.12 77.71
Space group P1 (No. 1)
Symmetry-distinct sites (fractional):
K1 0.0000 0.0000 0.0000 [1 per cell]
Ag1 0.6081 0.6285 0.2991 [1 per cell]
I1 0.4079 0.3698 0.6418 [1 per cell]
Br1 0.0832 0.4969 0.8310 [1 per cell]
Br2 0.2547 0.7488 0.4783 [1 per cell]
Br3 0.4568 0.0046 0.1719 [1 per cell]
Br4 0.5870 0.9828 0.7752 [1 per cell]
Br5 0.7536 0.2557 0.4473 [1 per cell]
Br6 0.9779 0.4860 0.1478 [1 per cell]

[7]
Compound: K2AgIBr4
Source: the Alexandria database
Functional: PBE
Structure: optimized geometry

Computed properties:
Density of states at the Fermi level in states/eV per cell: 0.00

a b c (Å): 9.9565 16.4364 9.8311
angles (deg): 90.00 118.44 90.00
Space group C2/c (No. 15)
Symmetry-distinct sites (fractional):
K1 0.0000 0.0000 0.0000 [4 per cell]
K2 0.2500 0.2500 0.0000 [4 per cell]
Ag1 0.2500 0.2500 0.5000 [4 per cell]
I1 0.0000 0.5000 0.0000 [4 per cell]
Br1 0.1042 0.1909 0.6307 [8 per cell]
Br2 0.2217 0.0740 0.3420 [8 per cell]

[8]
Compound: K2AgI2Br2
Source: the Alexandria database
Functional: PBE
Structure: optimized geometry

Computed properties:
Density of states at the Fermi level in states/eV per cell: 8.94

a b c (Å): 5.4977 5.4977 17.4974
angles (deg): 90.00 90.00 90.00
Space group I4/mmm (No. 139)
Symmetry-distinct sites (fractional):
K1 0.0000 0.0000 0.1264 [4 per cell]
Ag1 0.0000 0.0000 0.5000 [2 per cell]
I1 0.0000 0.0000 0.3346 [4 per cell]
Br1 0.0000 0.5000 0.0000 [4 per cell]

| no. | formation energy from raw total energies (eV/atom) | magnetization (Bohr magnetons per cell) |
| --- | --- | --- |
| 1 | -0.122 | 0.0 |
| 2 | 0.003 | 0.0 |
| 3 | -0.093 | 0.0 |
| 4 | -0.131 | 0.0 |
| 5 | -0.355 | 0.0 |
| 6 | -0.463 | 0.0 |
| 7 | -0.937 | 0.0 |
| 8 | -0.970 | 0.0 |